{
  "formula": "SbMo2Ir",
  "functional": "PBEsol",
  "state": "relaxed",
  "cell": [[4.206, 0.000, 0.000], [0.000, 1.430, 5.387], [0.000, -1.430, 5.387]],
  "species": ["Sb", "Mo", "Mo", "Ir"],
  "fractional_positions": [[0.000, 0.000, 0.000], [0.000, 0.747, 0.747], [0.500, 0.388, 0.388], [0.500, 0.146, 0.146]],
  "magmom_total_mub_per_cell": 0.00,
  "raw_formation_energy_ev_per_atom": 0.1531,
  "total_energy_ev_per_atom": -9.326,
  "sg": "Amm2"
}